First-principles (PBE+U) data for an optimized crystal structure of Cd4Mo6O19, as listed in Alexandria via LeMat-Bulk.

Cell: 7.974 7.974 7.974 Å, 109.47 109.47 109.47°
Element x y z (fractional)
Cd: 0.000 0.000 0.721
Cd: 0.000 0.721 0.000
Cd: 0.279 0.279 0.279
Cd: 0.721 0.000 0.000
Mo: 0.163 0.663 0.500
Mo: 0.337 0.500 0.837
Mo: 0.500 0.163 0.663
Mo: 0.500 0.837 0.337
Mo: 0.663 0.500 0.163
Mo: 0.837 0.337 0.500
O: 0.000 0.000 0.000
O: 0.000 0.356 0.356
O: 0.000 0.644 0.644
O: 0.018 0.286 0.678
O: 0.268 0.982 0.660
O: 0.286 0.678 0.018
O: 0.322 0.608 0.340
O: 0.340 0.322 0.608
O: 0.356 0.000 0.356
O: 0.356 0.356 0.000
O: 0.392 0.714 0.732
O: 0.608 0.340 0.322
O: 0.644 0.000 0.644
O: 0.644 0.644 0.000
O: 0.660 0.268 0.982
O: 0.678 0.018 0.286
O: 0.714 0.732 0.392
O: 0.732 0.392 0.714
O: 0.982 0.660 0.268

Values from the calculation:
For the total energy, the calculation gives -181.1 eV per formula unit. As for the space group: I23, No. 197.